Record 1
TlSnAs2Se: relaxed, GGA-PBEsol.

Calculated values
For the size of the total moment, the calculation gives 0.00 μB/cell. The symmetry is P4/mmm, No. 123. Its formation energy from raw total energies is 0.51 eV per atom.

Lattice parameters (Å, degrees): 5.2164 5.2164 5.3038 90.00 90.00 90.00
Closest atoms and distances in Å follow each position.
Fractional coordinates of all 5 atoms:
Tl: 0.0000 0.0000 0.0000  4 Se 3.69, 8 As 3.72
Sn: 0.5000 0.5000 0.5000  4 As 2.61, 2 Se 2.65
As: 0.0000 0.5000 0.5000  2 Sn 2.61
As: 0.5000 0.0000 0.5000  2 Sn 2.61
Se: 0.5000 0.5000 0.0000  2 Sn 2.65


Record 2
SrAsSe2: relaxed, GGA-PBEsol.

Calculated values
For the size of the total moment, the calculation gives 0.00 μB/cell. The symmetry is Imm2, No. 44. Its formation energy from raw total energies is -0.72 eV per atom.

Lattice parameters (Å, degrees): 7.2785 7.2785 7.2785 150.35 148.38 43.89
Closest atoms and distances in Å follow each position.
Fractional coordinates of all 4 atoms:
Sr: 0.0000 0.0000 0.0000  6 Se 3.01-3.15
As: 0.2374 0.7374 0.5000  6 Se 2.82-2.93
Se: 0.4053 0.4053 0.0000  2 As 2.93, 4 Sr 3.01
Se: 0.6814 0.1814 0.5000  4 As 2.82, 2 Sr 3.15


Record 3
SrAsSe2: relaxed, GGA-PBEsol.

Calculated values
For the size of the total moment, the calculation gives 0.00 μB/cell. The symmetry is R-3m, No. 166. Its formation energy from raw total energies is -0.46 eV per atom.

Lattice parameters (Å, degrees): 8.7189 8.7189 8.7189 28.72 28.72 28.72
Closest atoms and distances in Å follow each position.
Fractional coordinates of all 4 atoms:
Sr: 0.0000 0.0000 0.0000  6 Se 3.04
As: 0.5000 0.5000 0.5000  2 Se 2.45
Se: 0.4024 0.4024 0.4024  1 As 2.45
Se: 0.5976 0.5976 0.5976  1 As 2.45


Record 4
SrAsSe2: relaxed, GGA-PBEsol.

Calculated values
For the size of the total moment, the calculation gives 0.00 μB/cell. The symmetry is R-3m, No. 166. Its formation energy from raw total energies is -0.77 eV per atom.

Lattice parameters (Å, degrees): 6.6945 6.6945 6.6945 38.04 38.04 38.04
Closest atoms and distances in Å follow each position.
Fractional coordinates of all 4 atoms:
Sr: 0.0000 0.0000 0.0000  6 Se 3.09
As: 0.5000 0.5000 0.5000  6 Se 2.84
Se: 0.2370 0.2370 0.2370  3 As 2.84, 3 Sr 3.09
Se: 0.7630 0.7630 0.7630  3 As 2.84, 3 Sr 3.09


Repeat the first record exactly.
TlSnAs2Se: relaxed, GGA-PBEsol.

Calculated values
For the size of the total moment, the calculation gives 0.00 μB/cell. The symmetry is P4/mmm, No. 123. Its formation energy from raw total energies is 0.51 eV per atom.

Lattice parameters (Å, degrees): 5.2164 5.2164 5.3038 90.00 90.00 90.00
Closest atoms and distances in Å follow each position.
Fractional coordinates of all 5 atoms:
Tl: 0.0000 0.0000 0.0000  4 Se 3.69, 8 As 3.72
Sn: 0.5000 0.5000 0.5000  4 As 2.61, 2 Se 2.65
As: 0.0000 0.5000 0.5000  2 Sn 2.61
As: 0.5000 0.0000 0.5000  2 Sn 2.61
Se: 0.5000 0.5000 0.0000  2 Sn 2.65


Please write out number 3 again, unchanged.
SrAsSe2: relaxed, GGA-PBEsol.

Calculated values
For the size of the total moment, the calculation gives 0.00 μB/cell. The symmetry is R-3m, No. 166. Its formation energy from raw total energies is -0.46 eV per atom.

Lattice parameters (Å, degrees): 8.7189 8.7189 8.7189 28.72 28.72 28.72
Closest atoms and distances in Å follow each position.
Fractional coordinates of all 4 atoms:
Sr: 0.0000 0.0000 0.0000  6 Se 3.04
As: 0.5000 0.5000 0.5000  2 Se 2.45
Se: 0.4024 0.4024 0.4024  1 As 2.45
Se: 0.5976 0.5976 0.5976  1 As 2.45